Record 1
Rb2Ca2NbO6 | PBE | relaxed

Cell: 5.875 5.875 6.882 Å, 98.61 98.61 119.21°
Fractional coordinates of all 11 atoms:
Rb: 0.169 0.831 0.000
Rb: 0.831 0.169 0.000
Ca: 0.338 0.662 0.500
Ca: 0.662 0.338 0.500
Nb: 0.000 0.000 0.500
O: 0.052 0.348 0.667
O: 0.230 0.230 0.332
O: 0.348 0.052 0.667
O: 0.652 0.948 0.333
O: 0.770 0.770 0.668
O: 0.948 0.652 0.333

## Properties
The formation energy without anion corrections comes out at -2294 meV/atom. The space-group type is C2/m (12). The volume comes out at 18.0 A^3/atom.

***

Record 2
RbCa2Nb3O10 | PBE | relaxed

Cell: 3.964 3.964 15.313 Å, 90.00 90.00 90.00°
Fractional coordinates of all 16 atoms:
Rb: 0.000 0.000 0.000
Ca: 0.000 0.000 0.350
Ca: 0.000 0.000 0.650
Nb: 0.500 0.500 0.219
Nb: 0.500 0.500 0.500
Nb: 0.500 0.500 0.781
O: 0.000 0.500 0.247
O: 0.000 0.500 0.500
O: 0.000 0.500 0.753
O: 0.500 0.000 0.247
O: 0.500 0.000 0.500
O: 0.500 0.000 0.753
O: 0.500 0.500 0.101
O: 0.500 0.500 0.371
O: 0.500 0.500 0.629
O: 0.500 0.500 0.899

## Properties
The formation energy without anion corrections comes out at -2678 meV/atom. The space-group type is P4/mmm (123). The volume comes out at 15.0 A^3/atom.

***

formation energy without anion corrections of number 2 (RbCa2Nb3O10)?
-2678 meV/atom

***

Copy entry 2 word for word.
RbCa2Nb3O10 | PBE | relaxed

Cell: 3.964 3.964 15.313 Å, 90.00 90.00 90.00°
Fractional coordinates of all 16 atoms:
Rb: 0.000 0.000 0.000
Ca: 0.000 0.000 0.350
Ca: 0.000 0.000 0.650
Nb: 0.500 0.500 0.219
Nb: 0.500 0.500 0.500
Nb: 0.500 0.500 0.781
O: 0.000 0.500 0.247
O: 0.000 0.500 0.500
O: 0.000 0.500 0.753
O: 0.500 0.000 0.247
O: 0.500 0.000 0.500
O: 0.500 0.000 0.753
O: 0.500 0.500 0.101
O: 0.500 0.500 0.371
O: 0.500 0.500 0.629
O: 0.500 0.500 0.899

## Properties
The formation energy without anion corrections comes out at -2678 meV/atom. The space-group type is P4/mmm (123). The volume comes out at 15.0 A^3/atom.

***

Look up the formation energy without anion corrections of the first one.
-2294 meV/atom

***

formation energy without anion corrections of number 2 (RbCa2Nb3O10)?
-2678 meV/atom